1.
First-principles (PBE-GGA) data for crystalline YBeTe at its relaxed geometry, as listed in Alexandria.

a = 6.197 Å, b = 5.789 Å, c = 3.708 Å
α = 78.09°, β = 66.07°, γ = 35.84°
Positions (direct):
Te  0.361  0.361  0.639
Be  0.985  0.985  0.015
Y  0.653  0.653  0.347

Results
The calculation puts the total DFT energy (no corrections) at -13.913 eV for the cell shown. The size of the total moment is 0.00 μB/f.u. Its formation energy (no corrections) is -0.194 eV per atom.

2.
First-principles (PBE-GGA) data for crystalline PmNd8Er2 at its relaxed geometry, as listed in Alexandria.

a = 5.709 Å, b = 10.361 Å, c = 10.361 Å
α = 40.08°, β = 93.13°, γ = 93.13°
Positions (direct):
Nd  0.762  0.455  0.455
Nd  0.769  0.812  0.812
Nd  0.268  0.599  0.135
Nd  0.238  0.545  0.545
Nd  0.268  0.135  0.599
Nd  0.732  0.401  0.865
Nd  0.231  0.188  0.188
Nd  0.732  0.865  0.401
Er  0.255  0.715  0.715
Er  0.745  0.285  0.285
Pm  0.000  0.000  0.000

Results
The calculation puts the total DFT energy (no corrections) at -50.399 eV for the cell shown. Its energy relative to the elements is 147 meV/atom. The size of the total moment is 0.00 μB/f.u.

3.
First-principles (PBE-GGA) data for crystalline Ba2CdIn4Ga3 at its relaxed geometry, as listed in Alexandria.

a = 4.869 Å, b = 4.869 Å, c = 11.718 Å
α = 90.00°, β = 90.00°, γ = 90.00°
Positions (direct):
Ga  0.500  0.000  0.867
Ga  0.000  0.500  0.133
Ga  0.000  0.000  0.500
Cd  0.500  0.500  0.500
Ba  0.500  0.000  0.250
Ba  0.000  0.500  0.750
In  0.500  0.000  0.633
In  0.000  0.500  0.367
In  0.500  0.500  0.000
In  0.000  0.000  0.000

Results
The calculation puts the total DFT energy (no corrections) at -28.490 eV for the cell shown. Its energy relative to the elements is -369 meV/atom. The size of the total moment is 0.00 μB/f.u.

4.
First-principles (PBE-GGA) data for crystalline Mn2ReCl at its relaxed geometry, as listed in Alexandria.

a = 4.214 Å, b = 4.214 Å, c = 4.214 Å
α = 60.00°, β = 60.00°, γ = 60.00°
Positions (direct):
Mn  0.250  0.250  0.250
Mn  0.750  0.750  0.750
Cl  0.000  0.000  0.000
Re  0.500  0.500  0.500

Results
The calculation puts the total DFT energy (no corrections) at -28.181 eV for the cell shown. The size of the total moment is 0.00 μB/f.u. Its formation energy (no corrections) is 1.113 eV per atom.

5.
First-principles (PBE-GGA) data for crystalline Nd2PuGa3Rh4 at its relaxed geometry, as listed in Alexandria.

a = 4.322 Å, b = 4.322 Å, c = 10.719 Å
α = 90.00°, β = 90.00°, γ = 90.00°
Positions (direct):
Rh  0.500  0.000  0.648
Rh  0.000  0.500  0.352
Rh  0.500  0.500  0.000
Rh  0.000  0.000  0.000
Ga  0.000  0.500  0.118
Ga  0.000  0.000  0.500
Ga  0.500  0.000  0.882
Pu  0.500  0.500  0.500
Nd  0.000  0.500  0.776
Nd  0.500  0.000  0.224

Results
The calculation puts the total DFT energy (no corrections) at -69.554 eV for the cell shown. Its energy relative to the elements is -720 meV/atom. The size of the total moment is 5.54 μB/f.u.

6.
First-principles (PBE-GGA) data for crystalline Al2HRu2 at its relaxed geometry, as listed in Alexandria.

a = 5.614 Å, b = 5.614 Å, c = 3.977 Å
α = 90.00°, β = 90.00°, γ = 90.00°
Positions (direct):
Al  0.157  0.657  0.500
Al  0.657  0.843  0.500
Al  0.343  0.157  0.500
Al  0.843  0.343  0.500
Ru  0.169  0.331  0.000
Ru  0.331  0.831  0.000
Ru  0.669  0.169  0.000
Ru  0.831  0.669  0.000
H  0.000  0.000  0.000
H  0.500  0.500  0.000

Results
The calculation puts the total DFT energy (no corrections) at -61.455 eV for the cell shown. The size of the total moment is 0.00 μB/f.u.